1.
# FeCuSiOs PBE relaxed
# - offset from the most stable computed form (kJ/mol of atoms) = 1.29
# - space-group type = No. 216
data_FeCuSiOs
_chemical_formula_sum 'Fe4 Cu4 Si4 Os4'
_cell_length_a 5.796
_cell_length_b 5.796
_cell_length_c 5.796
_cell_angle_alpha 90.00
_cell_angle_beta 90.00
_cell_angle_gamma 90.00
_symmetry_space_group_name_H-M 'P 1'
_symmetry_Int_Tables_number 1
_symmetry_space_group_name_Hall 'P 1'
loop_
_atom_site_label
_atom_site_type_symbol
_atom_site_fract_x
_atom_site_fract_y
_atom_site_fract_z
_atom_site_occupancy
Fe1 Fe 0.000 0.000 0.000 1
Fe2 Fe 0.000 0.500 0.500 1
Fe3 Fe 0.500 0.000 0.500 1
Fe4 Fe 0.500 0.500 0.000 1
Cu1 Cu 0.250 0.250 0.250 1
Cu2 Cu 0.250 0.750 0.750 1
Cu3 Cu 0.750 0.250 0.750 1
Cu4 Cu 0.750 0.750 0.250 1
Si1 Si 0.250 0.250 0.750 1
Si2 Si 0.250 0.750 0.250 1
Si3 Si 0.750 0.250 0.250 1
Si4 Si 0.750 0.750 0.750 1
Os1 Os 0.000 0.000 0.500 1
Os2 Os 0.000 0.500 0.000 1
Os3 Os 0.500 0.000 0.000 1
Os4 Os 0.500 0.500 0.500 1

2.
# FeCuSiOs PBE relaxed
# - offset from the most stable computed form (kJ/mol of atoms) = 0.00
# - space-group type = No. 216
data_FeCuSiOs
_chemical_formula_sum 'Fe4 Cu4 Si4 Os4'
_cell_length_a 5.850
_cell_length_b 5.850
_cell_length_c 5.850
_cell_angle_alpha 90.00
_cell_angle_beta 90.00
_cell_angle_gamma 90.00
_symmetry_space_group_name_H-M 'P 1'
_symmetry_Int_Tables_number 1
_symmetry_space_group_name_Hall 'P 1'
loop_
_atom_site_label
_atom_site_type_symbol
_atom_site_fract_x
_atom_site_fract_y
_atom_site_fract_z
_atom_site_occupancy
Fe1 Fe 0.000 0.000 0.000 1
Fe2 Fe 0.000 0.500 0.500 1
Fe3 Fe 0.500 0.000 0.500 1
Fe4 Fe 0.500 0.500 0.000 1
Cu1 Cu 0.250 0.250 0.750 1
Cu2 Cu 0.250 0.750 0.250 1
Cu3 Cu 0.750 0.250 0.250 1
Cu4 Cu 0.750 0.750 0.750 1
Si1 Si 0.000 0.000 0.500 1
Si2 Si 0.000 0.500 0.000 1
Si3 Si 0.500 0.000 0.000 1
Si4 Si 0.500 0.500 0.500 1
Os1 Os 0.250 0.250 0.250 1
Os2 Os 0.250 0.750 0.750 1
Os3 Os 0.750 0.250 0.750 1
Os4 Os 0.750 0.750 0.250 1

3.
# TlFeCuOs PBE relaxed
# - offset from the most stable computed form (kJ/mol of atoms) = 0.00
# - space-group type = No. 216
data_TlFeCuOs
_chemical_formula_sum 'Tl4 Fe4 Cu4 Os4'
_cell_length_a 6.214
_cell_length_b 6.214
_cell_length_c 6.214
_cell_angle_alpha 90.00
_cell_angle_beta 90.00
_cell_angle_gamma 90.00
_symmetry_space_group_name_H-M 'P 1'
_symmetry_Int_Tables_number 1
_symmetry_space_group_name_Hall 'P 1'
loop_
_atom_site_label
_atom_site_type_symbol
_atom_site_fract_x
_atom_site_fract_y
_atom_site_fract_z
_atom_site_occupancy
Tl1 Tl 0.000 0.000 0.000 1
Tl2 Tl 0.000 0.500 0.500 1
Tl3 Tl 0.500 0.000 0.500 1
Tl4 Tl 0.500 0.500 0.000 1
Fe1 Fe 0.250 0.250 0.250 1
Fe2 Fe 0.250 0.750 0.750 1
Fe3 Fe 0.750 0.250 0.750 1
Fe4 Fe 0.750 0.750 0.250 1
Cu1 Cu 0.250 0.250 0.750 1
Cu2 Cu 0.250 0.750 0.250 1
Cu3 Cu 0.750 0.250 0.250 1
Cu4 Cu 0.750 0.750 0.750 1
Os1 Os 0.000 0.000 0.500 1
Os2 Os 0.000 0.500 0.000 1
Os3 Os 0.500 0.000 0.000 1
Os4 Os 0.500 0.500 0.500 1